1.
# TbPaCS2

An optimized crystal structure of TbPaCS2 (PBE, Alexandria via LeMat-Bulk).

a = 3.875 Å, b = 3.875 Å, c = 13.929 Å
α = 90.00°, β = 90.00°, γ = 90.00°
Element x y z (fractional)
Tb 0.250 0.250 0.119
Tb 0.750 0.750 0.881
Pa 0.250 0.250 0.589
Pa 0.750 0.750 0.411
C 0.250 0.750 0.500
C 0.750 0.250 0.500
S 0.250 0.250 0.306
S 0.250 0.250 0.908
S 0.750 0.750 0.092
S 0.750 0.750 0.694

Calculated values
SG	P4/nmm, No. 129

2.
# TbPaCS

An optimized crystal structure of TbPaCS (PBE, Alexandria via LeMat-Bulk).

a = 6.691 Å, b = 6.691 Å, c = 6.691 Å
α = 32.25°, β = 32.25°, γ = 32.25°
Element x y z (fractional)
Tb 0.000 0.000 0.000
Pa 0.523 0.523 0.523
C 0.253 0.253 0.253
S 0.761 0.761 0.761

Calculated values
SG	R3m, No. 160

3.
# ThPaCS2

An optimized crystal structure of ThPaCS2 (PBE, Alexandria via LeMat-Bulk).

a = 3.958 Å, b = 3.958 Å, c = 13.726 Å
α = 90.00°, β = 90.00°, γ = 90.00°
Element x y z (fractional)
Th 0.250 0.250 0.109
Th 0.750 0.750 0.891
Pa 0.250 0.250 0.587
Pa 0.750 0.750 0.413
C 0.250 0.750 0.500
C 0.750 0.250 0.500
S 0.250 0.250 0.306
S 0.250 0.250 0.888
S 0.750 0.750 0.112
S 0.750 0.750 0.694

Calculated values
SG	P4/nmm, No. 129

4.
# ThPaCS

An optimized crystal structure of ThPaCS (PBE, Alexandria via LeMat-Bulk).

a = 6.854 Å, b = 6.854 Å, c = 6.854 Å
α = 31.91°, β = 31.91°, γ = 31.91°
Element x y z (fractional)
Th 0.000 0.000 0.000
Pa 0.522 0.522 0.522
C 0.252 0.252 0.252
S 0.765 0.765 0.765

Calculated values
SG	R3m, No. 160

5.
# TmPaCS

An optimized crystal structure of TmPaCS (PBE, Alexandria via LeMat-Bulk).

a = 6.649 Å, b = 6.649 Å, c = 6.649 Å
α = 31.99°, β = 31.99°, γ = 31.99°
Element x y z (fractional)
Tm 0.000 0.000 0.000
Pa 0.524 0.524 0.524
C 0.258 0.258 0.258
S 0.759 0.759 0.759

Calculated values
SG	R3m, No. 160

6.
# TmPaCS2

An optimized crystal structure of TmPaCS2 (PBE, Alexandria via LeMat-Bulk).

a = 3.846 Å, b = 3.846 Å, c = 13.726 Å
α = 90.00°, β = 90.00°, γ = 90.00°
Element x y z (fractional)
Tm 0.250 0.250 0.116
Tm 0.750 0.750 0.884
Pa 0.250 0.250 0.591
Pa 0.750 0.750 0.409
C 0.250 0.750 0.500
C 0.750 0.250 0.500
S 0.250 0.250 0.302
S 0.250 0.250 0.908
S 0.750 0.750 0.092
S 0.750 0.750 0.698

Calculated values
SG	P4/nmm, No. 129

How do the records compare in energy relative to the elements, uncorrected? In the order shown, they have -1.386 -1.194 -1.288 -1.142 -1.208 -1.382 eV per atom.